! TbEu2Tm (PBE, relaxed); values from VASP
&SYSTEM
  ibrav = 0, nat = 4, ntyp = 3
/
ATOMIC_SPECIES
Eu 151.96 Eu.upf
Tm 168.93 Tm.upf
Tb 158.93 Tb.upf
ATOMIC_POSITIONS angstrom
Eu 0.000 0.000 2.912
Eu 0.000 2.912 0.000
Tm 2.060 0.000 0.000
Tb 2.060 2.912 2.912
CELL_PARAMETERS angstrom
4.121 0.000 0.000
0.000 5.825 0.000
0.000 0.000 5.825
! Symmetry   No. 123
! ΔH_f (0 K)   0.1742 eV per atom
! Total moment   14.6 μB per formula unit
! Volume   140 Å³/cell
! Energy above the lowest structure with this stoichiometry   48.2 meV/atom


! TbEu2Tm (PBE, relaxed); values from VASP
&SYSTEM
  ibrav = 0, nat = 4, ntyp = 3
/
ATOMIC_SPECIES
Eu 151.96 Eu.upf
Tm 168.93 Tm.upf
Tb 158.93 Tb.upf
ATOMIC_POSITIONS angstrom
Eu -1.798 2.943 -0.912
Eu -5.393 8.829 -2.735
Tm 0.000 0.000 0.000
Tb -3.595 5.886 -1.823
CELL_PARAMETERS angstrom
-1.474 3.494 -4.421
-5.243 2.536 -0.084
-0.473 5.742 0.859
! Symmetry   No. 225
! ΔH_f (0 K)   0.1721 eV per atom
! Total moment   14.5 μB per formula unit
! Volume   140 Å³/cell
! Energy above the lowest structure with this stoichiometry   46.0 meV/atom


! TbEuY2 (PBE, relaxed); values from VASP
&SYSTEM
  ibrav = 0, nat = 4, ntyp = 3
/
ATOMIC_SPECIES
Eu 151.96 Eu.upf
Y 88.91 Y.upf
Tb 158.93 Tb.upf
ATOMIC_POSITIONS angstrom
Eu 1.753 1.989 5.130
Y 5.052 0.456 6.084
Y 1.545 0.139 1.861
Tb -1.546 1.691 1.157
CELL_PARAMETERS angstrom
-0.314 3.617 -0.011
-2.778 -0.234 2.325
6.597 0.595 7.945
! Symmetry   No. 123
! ΔH_f (0 K)   0.0583 eV per atom
! Total moment   7.6 μB per formula unit
! Volume   136 Å³/cell
! Energy above the lowest structure with this stoichiometry   0.0 meV/atom


! TbEu2Y (PBE, relaxed); values from VASP
&SYSTEM
  ibrav = 0, nat = 4, ntyp = 3
/
ATOMIC_SPECIES
Eu 151.96 Eu.upf
Y 88.91 Y.upf
Tb 158.93 Tb.upf
ATOMIC_POSITIONS angstrom
Eu 0.921 5.014 8.311
Eu -1.085 -1.944 6.730
Y -0.082 1.535 7.521
Tb 0.000 0.000 0.000
CELL_PARAMETERS angstrom
-2.516 -1.591 2.016
0.914 -2.637 2.267
1.439 7.297 10.758
! Symmetry   No. 166
! ΔH_f (0 K)   0.2284 eV per atom
! Total moment   15.6 μB per formula unit
! Volume   145 Å³/cell
! Energy above the lowest structure with this stoichiometry   64.3 meV/atom